1.
Here is a relaxed structure of Pm4TlAu2 from the Alexandria database. Energies are from PBE.

Summary:
M_tot: 0.00 Bohr magnetons per cell
Fermi-level density of states: 30.22 states/eV/cell
Energy of formation from the pure elements: -0.489 eV/atom
Uncorrected energy: -125.4 eV for the cell shown

```
data_Pm4TlAu2
_chemical_formula_sum 'Pm16 Tl4 Au8'
_cell_length_a 9.507
_cell_length_b 9.507
_cell_length_c 8.986
_cell_angle_alpha 90.00
_cell_angle_beta 90.00
_cell_angle_gamma 90.00
_symmetry_space_group_name_H-M 'I -4 2 d'
_symmetry_Int_Tables_number 122
_symmetry_space_group_name_Hall 'I -4 2bw'
loop_
_atom_site_label
_atom_site_type_symbol
_atom_site_fract_x
_atom_site_fract_y
_atom_site_fract_z
Pm1 Pm 0.066 0.674 0.434
Tl1 Tl 0.000 0.000 0.500
Au1 Au 0.149 0.750 0.125
```

2.
Here is a relaxed structure of Pm2TlAu4 from the Alexandria database. Energies are from PBE.

Summary:
M_tot: 0.00 Bohr magnetons per cell
Fermi-level density of states: 10.19 states/eV/cell
Energy of formation from the pure elements: -0.508 eV/atom
Uncorrected energy: -85.6 eV for the cell shown

```
data_Pm2TlAu4
_chemical_formula_sum 'Pm6 Tl3 Au12'
_cell_length_a 5.1394
_cell_length_b 5.1394
_cell_length_c 21.9996
_cell_angle_alpha 90.00
_cell_angle_beta 90.00
_cell_angle_gamma 120.00
_symmetry_space_group_name_H-M 'R -3 m'
_symmetry_Int_Tables_number 166
_symmetry_space_group_name_Hall '-R 3 2"'
loop_
_atom_site_label
_atom_site_type_symbol
_atom_site_fract_x
_atom_site_fract_y
_atom_site_fract_z
Pm1 Pm 0.0000 0.0000 0.2327
Tl1 Tl 0.0000 0.0000 0.5000
Au1 Au 0.0000 0.0000 0.0838
Au2 Au 0.0000 0.0000 0.3682
```